First-principles (PBE) data for crystalline Ce2Pm2Pd15 at its relaxed geometry, as listed in Alexandria via LeMat-Bulk.

Summary:
Its total energy is -5.781 eV/atom. As for the spin magnetization: 0.0497 μB/atom. The value obtained for the formation energy is -0.557 eV/atom.

a = 9.2670 Å, b = 9.2670 Å, c = 14.1821 Å
α = 90.00°, β = 90.00°, γ = 120.00°
With the nearest neighbours (Å) after each atom.
Space group R-3m (No. 166, hexagonal axes)
Symmetry-distinct sites (fractional):
Ce1 0.0000 0.0000 0.1042  6 Pd 2.82-2.90, 1 Ce 2.96
Pm1 0.0000 0.0000 0.3635  12 Pd 3.19-3.34
Pd1 0.0000 0.3156 0.0000  8 Pd 2.78-2.92
Pd2 0.0000 0.5000 0.5000  8 Pd 2.70-2.78, 2 Ce 2.82
Pd3 0.0056 0.5028 0.1576  8 Pd 2.64-2.90, 1 Ce 2.90

***

First-principles (PBE) data for crystalline CePmPd3 at its relaxed geometry, as listed in Alexandria via LeMat-Bulk.

Summary:
Its total energy is -5.967 eV/atom. As for the spin magnetization: 0.1433 μB/atom. The value obtained for the formation energy is -0.714 eV/atom.

a = 7.2595 Å, b = 5.6845 Å, c = 10.7658 Å
α = 90.00°, β = 102.56°, γ = 90.00°
With the nearest neighbours (Å) after each atom.
Space group P2_1/c (No. 14)
Symmetry-distinct sites (fractional):
Ce1 0.1386 0.1995 0.1342  5 Pd 2.79-2.90
Pm1 0.3499 0.7267 0.9636  7 Pd 2.91-3.21
Pd1 0.1436 0.6950 0.1773  3 Pd 2.78-2.96, 2 Ce 2.85-2.90, 1 Pm 3.01
Pd2 0.2403 0.2103 0.8946  2 Pd 2.78-2.90, 2 Ce 2.79-2.83, 3 Pm 2.91-3.09
Pd3 0.4940 0.5231 0.7453  5 Pd 2.84-2.96, 2 Ce 2.89-3.13, 1 Pm 3.00

***

First-principles (PBE) data for crystalline CePm2Pd at its relaxed geometry, as listed in Alexandria via LeMat-Bulk.

Summary:
Its total energy is -5.458 eV/atom. As for the spin magnetization: 0.1551 μB/atom. For the relative energy among the computed polymorphs, the calculation gives 0.000 eV/atom. The value obtained for the formation energy is -0.301 eV/atom.

a = 3.6026 Å, b = 3.6026 Å, c = 8.4201 Å
α = 90.00°, β = 90.00°, γ = 90.00°
With the nearest neighbours (Å) after each atom.
Space group P4/mmm (No. 123)
Symmetry-distinct sites (fractional):
Ce1 0.0000 0.0000 0.0000  8 Pm 3.54, 4 Ce 3.60
Pm1 0.5000 0.5000 0.2915  4 Pd 3.09
Pd1 0.0000 0.0000 0.5000  8 Pm 3.09

***

First-principles (PBE) data for crystalline CePmPd at its relaxed geometry, as listed in Alexandria via LeMat-Bulk.

Summary:
Its total energy is -5.576 eV/atom. As for the spin magnetization: 0.1823 μB/atom. For the relative energy among the computed polymorphs, the calculation gives 0.180 eV/atom. The value obtained for the formation energy is -0.283 eV/atom.

a = 4.7881 Å, b = 4.7881 Å, c = 3.7559 Å
α = 90.00°, β = 90.00°, γ = 120.00°
With the nearest neighbours (Å) after each atom.
Space group P3m1 (No. 156)
Symmetry-distinct sites (fractional):
Ce1 0.0000 0.0000 0.0000  3 Pd 2.98, 3 Pm 3.11
Pm1 0.6667 0.3333 0.6226  3 Pd 3.03, 3 Ce 3.11
Pd1 0.3333 0.6667 0.2935  3 Ce 2.98, 3 Pm 3.03

***

First-principles (PBE) data for crystalline CePmPd at its relaxed geometry, as listed in Alexandria via LeMat-Bulk.

Summary:
Its total energy is -5.641 eV/atom. As for the spin magnetization: 0.0178 μB/atom. For the relative energy among the computed polymorphs, the calculation gives 0.115 eV/atom. The value obtained for the formation energy is -0.349 eV/atom.

a = 6.2519 Å, b = 10.4791 Å, c = 9.2288 Å
α = 90.00°, β = 90.00°, γ = 90.00°
With the nearest neighbours (Å) after each atom.
Space group Fdd2 (No. 43)
Symmetry-distinct sites (fractional):
Ce1 0.0000 0.0000 0.0000  3 Pd 2.79-3.09
Pm1 0.0000 0.0000 0.6282  3 Pd 3.00-3.13, 4 Ce 3.25-3.34
Pd1 0.0000 0.0000 0.3027  3 Ce 2.79-3.09, 3 Pm 3.00-3.13

***

First-principles (PBE) data for crystalline CePm2Pd at its relaxed geometry, as listed in Alexandria via LeMat-Bulk.

Summary:
Its total energy is -5.250 eV/atom. As for the spin magnetization: 0.0007 μB/atom. For the relative energy among the computed polymorphs, the calculation gives 0.209 eV/atom. The value obtained for the formation energy is -0.093 eV/atom.

a = 7.3617 Å, b = 7.3617 Å, c = 7.3617 Å
α = 90.00°, β = 90.00°, γ = 90.00°
With the nearest neighbours (Å) after each atom.
Space group Fm-3m (No. 225)
Symmetry-distinct sites (fractional):
Ce1 0.0000 0.0000 0.0000  8 Pm 3.19
Pm1 0.2500 0.2500 0.2500  4 Ce 3.19, 4 Pd 3.19
Pd1 0.0000 0.0000 0.5000  8 Pm 3.19